(1)
Material: Tl2Sn2S3
Method: DFT, GGA-PBE
State: relaxed

Structure (CIF):
```
data_Tl2Sn2S3
_chemical_formula_sum 'Tl4 Sn4 S6'
_space_group_name_H-M_alt 'P 1 21/c 1'
_space_group_IT_number 14
_cell_length_a 7.144
_cell_length_b 7.396
_cell_length_c 9.775
_cell_angle_alpha 90.00
_cell_angle_beta 125.77
_cell_angle_gamma 90.00
loop_
_space_group_symop_operation_xyz
'x,y,z'
'-x,-y,-z'
'-x,y+1/2,-z+1/2'
'x,-y+1/2,z+1/2'
loop_
_atom_site_label
_atom_site_type_symbol
_atom_site_fract_x
_atom_site_fract_y
_atom_site_fract_z
Tl1 Tl 0.181 0.166 0.437
Sn1 Sn 0.329 0.684 0.520
S1 S 0.000 0.000 0.000
S2 S 0.330 0.524 0.271
```

Formation energy without anion corrections, eV per atom: -0.3336
VASP energy, eV for the cell shown: -54.9


(2)
Material: Tl2Sn2S5
Method: DFT, GGA-PBE
State: relaxed

Structure (CIF):
```
data_Tl2Sn2S5
_chemical_formula_sum 'Tl4 Sn4 S10'
_space_group_name_H-M_alt 'C 1 2/m 1'
_space_group_IT_number 12
_cell_length_a 13.180
_cell_length_b 5.411
_cell_length_c 7.573
_cell_angle_alpha 90.00
_cell_angle_beta 102.20
_cell_angle_gamma 90.00
loop_
_space_group_symop_operation_xyz
'x,y,z'
'-x,-y,-z'
'-x,y,-z'
'x,-y,z'
'x+1/2,y+1/2,z'
'-x+1/2,-y+1/2,-z'
'-x+1/2,y+1/2,-z'
'x+1/2,-y+1/2,z'
loop_
_atom_site_label
_atom_site_type_symbol
_atom_site_fract_x
_atom_site_fract_y
_atom_site_fract_z
Tl1 Tl 0.103 0.000 0.346
Sn1 Sn 0.157 0.500 0.872
S1 S 0.000 0.500 0.000
S2 S 0.154 0.500 0.562
S3 S 0.171 0.000 0.930
```

Formation energy without anion corrections, eV per atom: -0.2389
VASP energy, eV for the cell shown: -71.1


(3)
Material: TlSnS3
Method: DFT, GGA-PBE
State: relaxed

Structure (CIF):
```
data_TlSnS3
_chemical_formula_sum 'Tl1 Sn1 S3'
_space_group_name_H-M_alt 'P m -3 m'
_space_group_IT_number 221
_space_group_name_Hall '-P 4 2 3'
_cell_length_a 5.068
_cell_length_b 5.068
_cell_length_c 5.068
_cell_angle_alpha 90.00
_cell_angle_beta 90.00
_cell_angle_gamma 90.00
loop_
_atom_site_label
_atom_site_type_symbol
_atom_site_fract_x
_atom_site_fract_y
_atom_site_fract_z
Tl1 Tl 0.000 0.000 0.000
Sn1 Sn 0.500 0.500 0.500
S1 S 0.000 0.500 0.500
```

Formation energy without anion corrections, eV per atom: 0.0142
VASP energy, eV for the cell shown: -18.7


(4)
Material: Tl4SnS6
Method: DFT, GGA-PBE
State: relaxed

Structure (CIF):
```
data_Tl4SnS6
_chemical_formula_sum 'Tl16 Sn4 S24'
_space_group_name_H-M_alt 'C 1 c 1'
_space_group_IT_number 9
_cell_length_a 12.668
_cell_length_b 9.076
_cell_length_c 12.909
_cell_angle_alpha 90.00
_cell_angle_beta 107.48
_cell_angle_gamma 90.00
loop_
_space_group_symop_operation_xyz
'x,y,z'
'x,-y,z+1/2'
'x+1/2,y+1/2,z'
'x+1/2,-y+1/2,z+1/2'
loop_
_atom_site_label
_atom_site_type_symbol
_atom_site_fract_x
_atom_site_fract_y
_atom_site_fract_z
Tl1 Tl 0.000 0.064 0.000
Tl2 Tl 0.168 0.225 0.366
Tl3 Tl 0.315 0.433 0.690
Tl4 Tl 0.466 0.083 0.207
Sn1 Sn 0.256 0.277 0.948
S1 S 0.168 0.483 0.008
S2 S 0.190 0.249 0.753
S3 S 0.212 0.052 0.029
S4 S 0.378 0.343 0.313
S5 S 0.457 0.283 0.007
S6 S 0.461 0.276 0.645
```

Formation energy without anion corrections, eV per atom: -0.2724
VASP energy, eV for the cell shown: -164.9


(5)
Material: TlSnS
Method: DFT, GGA-PBE
State: relaxed

Structure (CIF):
```
data_TlSnS
_chemical_formula_sum 'Tl2 Sn2 S2'
_space_group_name_H-M_alt 'I 4 m m'
_space_group_IT_number 107
_space_group_name_Hall 'I 4 -2'
_cell_length_a 3.635
_cell_length_b 3.635
_cell_length_c 12.044
_cell_angle_alpha 90.00
_cell_angle_beta 90.00
_cell_angle_gamma 90.00
loop_
_atom_site_label
_atom_site_type_symbol
_atom_site_fract_x
_atom_site_fract_y
_atom_site_fract_z
Tl1 Tl 0.000 0.000 0.000
Sn1 Sn 0.000 0.000 0.709
S1 S 0.000 0.000 0.305
```

Formation energy without anion corrections, eV per atom: -0.1646
VASP energy, eV for the cell shown: -22.0


(6)
Material: TlSnS
Method: DFT, GGA-PBE
State: relaxed

Structure (CIF):
```
data_TlSnS
_chemical_formula_sum 'Tl1 Sn1 S1'
_space_group_name_H-M_alt 'P 3 m 1'
_space_group_IT_number 156
_cell_length_a 3.6898
_cell_length_b 3.6898
_cell_length_c 6.9816
_cell_angle_alpha 90.00
_cell_angle_beta 90.00
_cell_angle_gamma 120.00
loop_
_space_group_symop_operation_xyz
'x,y,z'
'-y,x-y,z'
'-x+y,-x,z'
'-y,-x,z'
'-x+y,y,z'
'x,x-y,z'
loop_
_atom_site_label
_atom_site_type_symbol
_atom_site_fract_x
_atom_site_fract_y
_atom_site_fract_z
Tl1 Tl 0.0000 0.0000 0.0000
Sn1 Sn 0.6667 0.3333 0.4265
S1 S 0.3333 0.6667 0.6604
```

Formation energy without anion corrections, eV per atom: -0.2292
VASP energy, eV for the cell shown: -11.2


(7)
Material: TlSn3S
Method: DFT, GGA-PBE
State: relaxed

Structure (CIF):
```
data_TlSn3S
_chemical_formula_sum 'Tl1 Sn3 S1'
_space_group_name_H-M_alt 'P m -3 m'
_space_group_IT_number 221
_space_group_name_Hall '-P 4 2 3'
_cell_length_a 5.710
_cell_length_b 5.710
_cell_length_c 5.710
_cell_angle_alpha 90.00
_cell_angle_beta 90.00
_cell_angle_gamma 90.00
loop_
_atom_site_label
_atom_site_type_symbol
_atom_site_fract_x
_atom_site_fract_y
_atom_site_fract_z
Tl1 Tl 0.000 0.000 0.000
Sn1 Sn 0.000 0.000 0.500
S1 S 0.500 0.500 0.500
```

Formation energy without anion corrections, eV per atom: 0.8495
VASP energy, eV for the cell shown: -14.3


(8)
Material: TlSn3S
Method: DFT, GGA-PBE
State: relaxed

Structure (CIF):
```
data_TlSn3S
_chemical_formula_sum 'Tl1 Sn3 S1'
_space_group_name_H-M_alt 'P m -3 m'
_space_group_IT_number 221
_space_group_name_Hall '-P 4 2 3'
_cell_length_a 5.407
_cell_length_b 5.407
_cell_length_c 5.407
_cell_angle_alpha 90.00
_cell_angle_beta 90.00
_cell_angle_gamma 90.00
loop_
_atom_site_label
_atom_site_type_symbol
_atom_site_fract_x
_atom_site_fract_y
_atom_site_fract_z
Tl1 Tl 0.000 0.000 0.000
Sn1 Sn 0.000 0.500 0.500
S1 S 0.500 0.500 0.500
```

Formation energy without anion corrections, eV per atom: 0.1951
VASP energy, eV for the cell shown: -17.5


(9)
Material: Tl5SnS4
Method: DFT, GGA-PBE
State: relaxed

Structure (CIF):
```
data_Tl5SnS4
_chemical_formula_sum 'Tl10 Sn2 S8'
_space_group_name_H-M_alt 'P m m n'
_space_group_IT_number 59
_cell_length_a 8.949
_cell_length_b 10.227
_cell_length_c 7.049
_cell_angle_alpha 90.00
_cell_angle_beta 90.00
_cell_angle_gamma 90.00
loop_
_space_group_symop_operation_xyz
'x,y,z'
'-x,-y,-z'
'-x+1/2,-y+1/2,z'
'x+1/2,y+1/2,-z'
'x+1/2,-y,-z'
'-x+1/2,y,z'
'-x,y+1/2,-z'
'x,-y+1/2,z'
loop_
_atom_site_label
_atom_site_type_symbol
_atom_site_fract_x
_atom_site_fract_y
_atom_site_fract_z
Tl1 Tl 0.035 0.072 0.220
Tl2 Tl 0.250 0.250 0.583
Sn1 Sn 0.250 0.750 0.357
S1 S 0.023 0.750 0.166
S2 S 0.250 0.557 0.568
```

Formation energy without anion corrections, eV per atom: -0.3032
VASP energy, eV for the cell shown: -70.8


(10)
Material: TlSnS
Method: DFT, GGA-PBE
State: relaxed

Structure (CIF):
```
data_TlSnS
_chemical_formula_sum 'Tl6 Sn6 S6'
_space_group_name_H-M_alt 'P m n 21'
_space_group_IT_number 31
_cell_length_a 3.769
_cell_length_b 5.644
_cell_length_c 26.700
_cell_angle_alpha 90.00
_cell_angle_beta 90.00
_cell_angle_gamma 90.00
loop_
_space_group_symop_operation_xyz
'x,y,z'
'-x+1/2,-y,z+1/2'
'-x,y,z'
'x+1/2,-y,z+1/2'
loop_
_atom_site_label
_atom_site_type_symbol
_atom_site_fract_x
_atom_site_fract_y
_atom_site_fract_z
Tl1 Tl 0.000 0.167 0.000
Tl2 Tl 0.000 0.218 0.211
Tl3 Tl 0.000 0.754 0.284
Sn1 Sn 0.000 0.277 0.607
Sn2 Sn 0.000 0.309 0.475
Sn3 Sn 0.000 0.556 0.882
S1 S 0.000 0.040 0.110
S2 S 0.000 0.116 0.382
S3 S 0.000 0.394 0.702
```

Formation energy without anion corrections, eV per atom: -0.2156
VASP energy, eV for the cell shown: -66.9


(11)
Material: Tl8SnS6
Method: DFT, GGA-PBE
State: relaxed

Structure (CIF):
```
data_Tl8SnS6
_chemical_formula_sum 'Tl16 Sn2 S12'
_space_group_name_H-M_alt 'P m n 21'
_space_group_IT_number 31
_cell_length_a 9.040
_cell_length_b 8.328
_cell_length_c 13.175
_cell_angle_alpha 90.00
_cell_angle_beta 90.00
_cell_angle_gamma 90.00
loop_
_space_group_symop_operation_xyz
'x,y,z'
'-x+1/2,-y,z+1/2'
'-x,y,z'
'x+1/2,-y,z+1/2'
loop_
_atom_site_label
_atom_site_type_symbol
_atom_site_fract_x
_atom_site_fract_y
_atom_site_fract_z
Tl1 Tl 0.000 0.019 0.000
Tl2 Tl 0.000 0.691 0.308
Tl3 Tl 0.185 0.282 0.672
Tl4 Tl 0.191 0.477 0.956
Tl5 Tl 0.240 0.759 0.701
Sn1 Sn 0.000 0.065 0.446
S1 S 0.000 0.353 0.467
S2 S 0.000 0.562 0.785
S3 S 0.000 0.697 0.076
S4 S 0.000 0.973 0.622
S5 S 0.218 0.972 0.357
```

Formation energy without anion corrections, eV per atom: -0.3228
VASP energy, eV for the cell shown: -105.1


Which of these has the highest VASP energy? number 6